[1]
This record from Alexandria via LeMat-Bulk describes MnCuBi2C at its PBEsol-relaxed geometry. The functional is meta-GGA SCAN.

DOS(E_F)	0.53	states/eV per atom
calculated total energy	-38.491	eV/atom

The structure in POSCAR format:
```
MnCuBi2C
1.0
5.018 0.000 0.000
0.000 5.018 0.000
0.000 0.000 4.578
Mn Cu Bi C
1 1 2 1
Direct
0.000 0.000 0.000
0.000 0.000 0.500
0.000 0.500 0.500
0.500 0.000 0.500
0.500 0.500 0.000
```

=====

[2]
This record from Alexandria via LeMat-Bulk describes Cs3Sb2Cl9 at its PBEsol-relaxed geometry. The functional is meta-GGA SCAN.

DOS(E_F)	0.00	states/eV per atom
energy relative to the elements, uncorrected	-1.565	eV per atom

The structure in POSCAR format:
```
Cs3Sb2Cl9
1.0
18.431 0.000 0.000
0.000 7.503 0.000
0.000 0.000 12.927
Cs Sb Cl
12 8 36
Direct
0.086 0.250 0.087
0.087 0.750 0.582
0.248 0.750 0.252
0.252 0.250 0.752
0.413 0.250 0.082
0.414 0.750 0.587
0.586 0.250 0.413
0.587 0.750 0.918
0.748 0.750 0.248
0.752 0.250 0.748
0.913 0.250 0.418
0.914 0.750 0.913
0.001 0.750 0.262
0.181 0.750 0.917
0.319 0.250 0.417
0.499 0.250 0.762
0.501 0.750 0.238
0.681 0.750 0.583
0.819 0.250 0.083
0.999 0.250 0.738
0.078 0.250 0.582
0.079 0.510 0.336
0.079 0.990 0.336
0.088 0.750 0.083
0.089 0.503 0.830
0.089 0.997 0.830
0.246 0.250 0.251
0.250 0.002 0.002
0.250 0.498 0.002
0.250 0.502 0.502
0.250 0.998 0.502
0.254 0.750 0.751
0.411 0.003 0.330
0.411 0.497 0.330
0.412 0.250 0.583
0.421 0.010 0.836
0.421 0.490 0.836
0.422 0.750 0.082
0.578 0.250 0.918
0.579 0.510 0.164
0.579 0.990 0.164
0.588 0.750 0.417
0.589 0.503 0.670
0.589 0.997 0.670
0.746 0.250 0.249
0.750 0.002 0.498
0.750 0.498 0.498
0.750 0.502 0.998
0.750 0.998 0.998
0.754 0.750 0.749
0.911 0.003 0.170
0.911 0.497 0.170
0.912 0.250 0.917
0.921 0.010 0.664
0.921 0.490 0.664
0.922 0.750 0.418
```

=====

[3]
This record from Alexandria via LeMat-Bulk describes Mn2InO5 at its PBEsol-relaxed geometry. The functional is meta-GGA SCAN.

energy relative to the elements, uncorrected	-2.042	eV per atom

The structure in POSCAR format:
```
Mn2InO5
1.0
7.451 0.000 0.000
0.000 8.109 0.000
0.000 0.000 5.602
Mn In O
8 4 20
Direct
0.000 0.000 0.246
0.000 0.000 0.754
0.101 0.345 0.000
0.399 0.845 0.000
0.500 0.500 0.246
0.500 0.500 0.754
0.601 0.155 0.000
0.899 0.655 0.000
0.149 0.655 0.500
0.351 0.155 0.500
0.649 0.845 0.500
0.851 0.345 0.500
0.000 0.500 0.235
0.000 0.500 0.765
0.130 0.198 0.252
0.130 0.198 0.748
0.141 0.914 0.000
0.151 0.924 0.500
0.349 0.424 0.500
0.359 0.414 0.000
0.370 0.698 0.252
0.370 0.698 0.748
0.500 0.000 0.235
0.500 0.000 0.765
0.630 0.302 0.252
0.630 0.302 0.748
0.641 0.586 0.000
0.651 0.576 0.500
0.849 0.076 0.500
0.859 0.086 0.000
0.870 0.802 0.252
0.870 0.802 0.748
```

=====

[4]
This record from Alexandria via LeMat-Bulk describes Cd3Hg2 at its PBEsol-relaxed geometry. The functional is meta-GGA SCAN.

DOS(E_F)	0.31	states/eV per atom
distance to the lowest polymorph of the same formula	6.9	meV per atom

The structure in POSCAR format:
```
Cd3Hg2
1.0
0.000 7.328 3.080
4.864 0.000 3.080
4.864 7.328 0.000
Cd Hg
6 4
Direct
0.000 0.000 0.000
0.250 0.250 0.250
0.396 0.711 0.398
0.711 0.396 0.495
0.755 0.852 0.539
0.852 0.755 0.854
0.189 0.508 0.914
0.336 0.862 0.061
0.508 0.189 0.388
0.862 0.336 0.742
```

=====

| no. | calculated volume (Å³/f.u.) |
| --- | --- |
| 1 | 115.28 |
| 2 | 446.90 |
| 3 | 84.63 |
| 4 | 109.80 |